Compound: TaInCoHg
Source: OQMD
Functional: PBE
Structure: relaxed

The structure in POSCAR format:
```
TaInCoHg
1.0
0.0000 3.2725 3.2725
3.2725 0.0000 3.2725
3.2725 3.2725 0.0000
Ta In Co Hg
1 1 1 1
direct
0.0000 0.0000 0.0000 Ta
0.5000 0.5000 0.5000 In
0.7500 0.7500 0.7500 Co
0.2500 0.2500 0.2500 Hg
```

As for the raw total energy: -5.0365 eV per atom.